1.
The following is a DFT calculation (meta-GGA SCAN) of a PBEsol-optimized structure of Ta2P3Se8.

Computed properties:
Total magnetic moment: 0.0000 μB/atom
Raw formation energy: -328 meV/atom

abc: 10.4499 17.2668 3.3267
angles: 90.00 90.00 90.00
Element x y z (fractional)
Ta  0.2207  0.1026  0.0000
Ta  0.2793  0.6026  0.0000
Ta  0.7207  0.3974  0.0000
Ta  0.7793  0.8974  0.0000
P  0.0000  0.0000  0.5000
P  0.1223  0.6804  0.5000
P  0.3777  0.1804  0.5000
P  0.5000  0.5000  0.5000
P  0.6223  0.8196  0.5000
P  0.8777  0.3196  0.5000
Se  0.0257  0.5965  0.0000
Se  0.0420  0.1415  0.5000
Se  0.2374  0.7545  0.0000
Se  0.2390  0.9882  0.5000
Se  0.2610  0.4882  0.5000
Se  0.2626  0.2545  0.0000
Se  0.4580  0.6415  0.5000
Se  0.4743  0.0965  0.0000
Se  0.5257  0.9035  0.0000
Se  0.5420  0.3585  0.5000
Se  0.7374  0.7455  0.0000
Se  0.7390  0.5118  0.5000
Se  0.7610  0.0118  0.5000
Se  0.7626  0.2455  0.0000
Se  0.9580  0.8585  0.5000
Se  0.9743  0.4035  0.0000

=====

2.
The following is a DFT calculation (meta-GGA SCAN) of a PBEsol-optimized structure of TaP2Se.

Computed properties:
Total magnetic moment: 0.0000 μB/atom
Raw formation energy: 481 meV/atom

abc: 3.1134 4.2439 4.7249
angles: 90.00 90.00 90.00
Element x y z (fractional)
Ta  0.0000  0.0000  0.0000
P  0.0000  0.5000  0.5000
P  0.5000  0.0000  0.5000
Se  0.5000  0.5000  0.0000

=====

3.
The following is a DFT calculation (meta-GGA SCAN) of a PBEsol-optimized structure of Ta3PSe.

Computed properties:
Total magnetic moment: 0.0014 μB/atom
Raw formation energy: 726 meV/atom

abc: 4.5889 4.5889 4.5889
angles: 90.00 90.00 90.00
Element x y z (fractional)
Ta  0.0000  0.0000  0.5000
Ta  0.0000  0.5000  0.0000
Ta  0.5000  0.0000  0.0000
P  0.0000  0.0000  0.0000
Se  0.5000  0.5000  0.5000

=====

4.
The following is a DFT calculation (meta-GGA SCAN) of a PBEsol-optimized structure of Tc2PSe.

Computed properties:
Total magnetic moment: 0.0000 μB/atom
Raw formation energy: 506 meV/atom

abc: 4.8508 4.8508 2.9932
angles: 107.67 107.67 105.23
Element x y z (fractional)
Tc  0.0000  0.5000  0.0000
Tc  0.5000  0.0000  0.0000
P  0.0000  0.0000  0.5000
Se  0.5000  0.5000  0.5000

=====

5.
The following is a DFT calculation (meta-GGA SCAN) of a PBEsol-optimized structure of TcPSe.

Computed properties:
Total magnetic moment: 0.0000 μB/atom
Raw formation energy: 598 meV/atom

abc: 4.1025 4.1025 4.1025
angles: 60.00 60.00 60.00
Element x y z (fractional)
Tc  0.0000  0.0000  0.0000
P  0.7500  0.7500  0.7500
Se  0.5000  0.5000  0.5000

=====

6.
The following is a DFT calculation (meta-GGA SCAN) of a PBEsol-optimized structure of TcPSe2.

Computed properties:
Total magnetic moment: 0.0000 μB/atom
Raw formation energy: 176 meV/atom

abc: 3.1271 3.1271 6.8433
angles: 90.00 90.00 90.00
Element x y z (fractional)
Tc  0.0000  0.0000  0.0000
P  0.5000  0.5000  0.1744
Se  0.0000  0.0000  0.3792
Se  0.5000  0.5000  0.7663

=====

7.
The following is a DFT calculation (meta-GGA SCAN) of a PBEsol-optimized structure of Te2PSe.

Computed properties:
Total magnetic moment: 0.0000 μB/atom
Raw formation energy: 177 meV/atom
ΔE to the lowest computed polymorph: 0.0000 eV per atom

abc: 7.1975 7.1975 7.1975
angles: 32.65 32.65 32.65
Element x y z (fractional)
Te  0.2428  0.2428  0.2428
Te  0.7572  0.7572  0.7572
P  0.5000  0.5000  0.5000
Se  0.0000  0.0000  0.0000

=====

8.
The following is a DFT calculation (meta-GGA SCAN) of a PBEsol-optimized structure of Te2PSe.

Computed properties:
Total magnetic moment: 0.0000 μB/atom
Raw formation energy: 332 meV/atom
ΔE to the lowest computed polymorph: 0.1549 eV per atom

abc: 8.9911 8.9911 8.9911
angles: 24.20 24.20 24.20
Element x y z (fractional)
Te  0.1013  0.1013  0.1013
Te  0.8987  0.8987  0.8987
P  0.5000  0.5000  0.5000
Se  0.0000  0.0000  0.0000

=====

9.
The following is a DFT calculation (meta-GGA SCAN) of a PBEsol-optimized structure of Te2PSe.

Computed properties:
Total magnetic moment: 0.0000 μB/atom
Raw formation energy: 578 meV/atom
ΔE to the lowest computed polymorph: 0.4007 eV per atom

abc: 4.9622 4.9622 4.9622
angles: 60.00 60.00 60.00
Element x y z (fractional)
Te  0.2500  0.2500  0.2500
Te  0.7500  0.7500  0.7500
P  0.0000  0.0000  0.0000
Se  0.5000  0.5000  0.5000

=====

10.
The following is a DFT calculation (meta-GGA SCAN) of a PBEsol-optimized structure of TePSe.

Computed properties:
Total magnetic moment: 0.0000 μB/atom
Raw formation energy: 219 meV/atom

abc: 6.9108 6.9108 6.9108
angles: 150.78 150.78 41.80
Element x y z (fractional)
Te  0.0000  0.0000  0.0000
P  0.8068  0.8068  0.0000
Se  0.2674  0.2674  0.0000

=====

11.
The following is a DFT calculation (meta-GGA SCAN) of a PBEsol-optimized structure of TePSe3.

Computed properties:
Total magnetic moment: 0.0000 μB/atom
Raw formation energy: 503 meV/atom

abc: 4.7923 4.7923 4.7923
angles: 90.00 90.00 90.00
Element x y z (fractional)
Te  0.0000  0.0000  0.0000
P  0.5000  0.5000  0.5000
Se  0.0000  0.5000  0.5000
Se  0.5000  0.0000  0.5000
Se  0.5000  0.5000  0.0000

=====

12.
The following is a DFT calculation (meta-GGA SCAN) of a PBEsol-optimized structure of Te2P2Se.

Computed properties:
Total magnetic moment: 0.0000 μB/atom
Raw formation energy: 456 meV/atom

abc: 7.5601 7.5601 3.8591
angles: 90.00 90.00 90.00
Element x y z (fractional)
Te  0.1535  0.3465  0.0000
Te  0.3465  0.8465  0.0000
Te  0.6535  0.1535  0.0000
Te  0.8465  0.6535  0.0000
P  0.1883  0.6883  0.5000
P  0.3117  0.1883  0.5000
P  0.6883  0.8117  0.5000
P  0.8117  0.3117  0.5000
Se  0.0000  0.0000  0.5000
Se  0.5000  0.5000  0.5000